No. 1
Entry from OQMD via LeMat-Bulk: Zr3Zn2Ga2 after structural relaxation (GGA-PBE).

```
Zr3Zn2Ga2
1.0
2.3004 1.3281 7.6982
-2.3004 1.3281 7.6982
0.0000 -2.6563 7.6982
Zr Zn Ga
3 2 2
Cartesian
0.0000 0.0000 0.0000 Zr
0.0000 0.0000 5.6571 Zr
0.0000 0.0000 17.4176 Zr
0.0000 0.0000 8.8087 Zn
0.0000 0.0000 20.1300 Zn
0.0000 0.0000 2.9278 Ga
0.0000 0.0000 14.3682 Ga
```

Output
Total DFT energy (no corrections)   -5.0857 eV/atom

=====

No. 2
Entry from OQMD via LeMat-Bulk: ZrGa after structural relaxation (GGA-PBE).

```
ZrGa
1.0
0.0000 2.7547 2.7547
2.7547 0.0000 2.7547
2.7547 2.7547 0.0000
Zr Ga
1 1
Cartesian
0.0000 0.0000 0.0000 Zr
2.7547 2.7547 2.7547 Ga
```

Output
Total DFT energy (no corrections)   -6.0956 eV/atom

=====

No. 3
Entry from OQMD via LeMat-Bulk: Zr2Ga after structural relaxation (GGA-PBE).

```
Zr2Ga
1.0
0.0000 4.0353 4.0353
4.0353 0.0000 4.0353
4.0353 4.0353 0.0000
Zr Ga
4 2
Cartesian
0.0000 0.0000 0.0000 Zr
2.0176 2.0176 0.0000 Zr
2.0176 0.0000 2.0176 Zr
0.0000 2.0176 2.0176 Zr
3.0265 3.0265 3.0265 Ga
5.0441 5.0441 5.0441 Ga
```

Output
Total DFT energy (no corrections)   -6.4499 eV/atom

=====

No. 4
Entry from OQMD via LeMat-Bulk: Zr3Ga after structural relaxation (GGA-PBE).

```
Zr3Ga
1.0
5.0781 0.0000 0.0000
0.0000 5.9654 0.0000
0.0000 0.0000 5.5410
Zr Ga
6 2
Cartesian
1.2695 0.0062 0.8626 Zr
1.2695 1.4913 3.5246 Zr
1.2695 2.9764 0.8626 Zr
3.8086 2.9889 4.6784 Zr
3.8086 4.4740 2.0164 Zr
3.8086 5.9591 4.6784 Zr
1.2695 4.4740 3.7051 Ga
3.8086 1.4913 1.8360 Ga
```

Output
Total DFT energy (no corrections)   -7.4466 eV/atom

=====

No. 5
Entry from OQMD via LeMat-Bulk: ZrGa after structural relaxation (GGA-PBE).

```
ZrGa
1.0
5.0313 0.0000 0.0000
0.0000 11.2133 0.0000
0.0000 0.0000 5.5440
Zr Ga
8 8
Cartesian
1.2578 1.0588 0.4579 Zr
1.2578 2.8033 3.1066 Zr
1.2578 4.5478 0.4579 Zr
1.2578 8.4100 4.3671 Zr
3.7735 2.8033 1.1769 Zr
3.7735 6.6655 5.0861 Zr
3.7735 8.4100 2.4374 Zr
3.7735 10.1545 5.0861 Zr
1.2578 5.6800 3.4528 Ga
1.2578 7.1531 1.3938 Ga
1.2578 9.6669 1.3938 Ga
1.2578 11.1399 3.4528 Ga
3.7735 0.0734 2.0912 Ga
3.7735 1.5464 4.1502 Ga
3.7735 4.0602 4.1502 Ga
3.7735 5.5333 2.0912 Ga
```

Output
Total DFT energy (no corrections)   -6.1024 eV/atom

=====

No. 6
Entry from OQMD via LeMat-Bulk: Zr2Ga after structural relaxation (GGA-PBE).

```
Zr2Ga
1.0
8.0260 0.0000 0.0000
0.0000 5.2444 0.0000
-2.1941 0.0000 11.9647
Zr Ga
16 8
Cartesian
-0.3626 1.3111 3.7823 Zr
0.2738 1.3111 0.9198 Zr
-0.7101 1.3111 6.7768 Zr
-1.1992 1.3111 9.8361 Zr
1.3970 3.9333 4.1939 Zr
2.0433 3.9333 1.1532 Zr
2.1171 1.3111 5.7957 Zr
1.0047 1.3111 11.8560 Zr
4.8272 3.9333 0.1087 Zr
3.7147 3.9333 6.1690 Zr
3.7885 1.3111 10.8115 Zr
4.4349 1.3111 7.7707 Zr
7.0311 3.9333 2.1286 Zr
6.5420 3.9333 5.1879 Zr
5.5580 3.9333 11.0449 Zr
6.1945 3.9333 8.1824 Zr
0.9341 3.9333 7.1380 Ga
0.4483 3.9333 10.1303 Ga
2.5534 1.3111 2.8418 Ga
1.5929 1.3111 8.7874 Ga
4.2389 3.9333 3.1772 Ga
3.2785 3.9333 9.1229 Ga
5.3836 1.3111 1.8343 Ga
4.8978 1.3111 4.8267 Ga
```

Output
Total DFT energy (no corrections)   -6.8534 eV/atom

=====

No. 7
Entry from OQMD via LeMat-Bulk: Zr2Ga after structural relaxation (GGA-PBE).

```
Zr2Ga
1.0
4.7674 0.0000 0.0000
0.0000 9.6160 0.0000
0.0000 0.0000 5.4375
Zr Ga
8 4
Cartesian
1.1919 0.5929 0.6117 Zr
1.1919 2.4040 3.2631 Zr
1.1919 4.2151 0.6117 Zr
1.1919 7.2120 0.0053 Zr
3.5756 2.4040 5.4322 Zr
3.5756 5.4009 4.8257 Zr
3.5756 7.2120 2.1744 Zr
3.5756 9.0231 4.8257 Zr
1.1919 5.5544 3.1007 Ga
1.1919 8.8696 3.1007 Ga
3.5756 0.7464 2.3368 Ga
3.5756 4.0616 2.3368 Ga
```

Output
Total DFT energy (no corrections)   -6.9303 eV/atom

=====

No. 8
Entry from OQMD via LeMat-Bulk: Zr2Ga after structural relaxation (GGA-PBE).

```
Zr2Ga
1.0
0.0000 5.8584 5.8584
5.8584 0.0000 5.8584
5.8584 5.8584 0.0000
Zr Ga
4 2
Cartesian
0.0000 0.0000 0.0000 Zr
2.9292 2.9292 0.0000 Zr
2.9292 0.0000 2.9292 Zr
0.0000 2.9292 2.9292 Zr
1.4646 1.4646 1.4646 Ga
10.2522 10.2522 10.2522 Ga
```

Output
Total DFT energy (no corrections)   -4.3786 eV/atom

=====

No. 9
Entry from OQMD via LeMat-Bulk: ZrGa after structural relaxation (GGA-PBE).

```
ZrGa
1.0
5.5338 0.0000 0.0000
0.0000 5.4590 0.0000
0.0000 0.0000 5.4463
Zr Ga
4 4
Cartesian
0.9431 0.0053 1.3616 Zr
0.9431 2.7242 4.0848 Zr
4.5907 2.7348 1.3616 Zr
4.5907 5.4537 4.0848 Zr
1.8097 2.7352 1.3616 Ga
1.8097 5.4532 4.0848 Ga
3.7240 0.0058 1.3616 Ga
3.7240 2.7237 4.0848 Ga
```

Output
Total DFT energy (no corrections)   -6.0489 eV/atom

=====

No. 10
Entry from OQMD via LeMat-Bulk: ZrGa after structural relaxation (GGA-PBE).

```
ZrGa
1.0
5.6699 0.0000 0.0000
0.0000 4.7371 0.0000
0.0000 0.0000 5.6855
Zr Ga
4 4
Cartesian
0.7831 1.1843 0.7022 Zr
2.0518 3.5528 3.5450 Zr
3.6181 1.1843 2.1405 Zr
4.8867 3.5528 4.9833 Zr
0.5329 1.1843 3.5928 Ga
2.3021 3.5528 0.7500 Ga
3.3678 1.1843 4.9355 Ga
5.1370 3.5528 2.0927 Ga
```

Output
Total DFT energy (no corrections)   -6.2871 eV/atom

=====

No. 11
Entry from OQMD via LeMat-Bulk: ZrGa after structural relaxation (GGA-PBE).

```
ZrGa
1.0
3.0952 0.0000 0.0000
0.0000 5.3298 0.0000
0.0000 0.0000 4.9373
Zr Ga
2 2
Cartesian
0.7738 1.3325 0.4265 Zr
2.3214 3.9974 4.5108 Zr
0.7738 3.9974 2.0222 Ga
2.3214 1.3325 2.9151 Ga
```

Output
Total DFT energy (no corrections)   -5.9982 eV/atom

=====

No. 12
Entry from OQMD via LeMat-Bulk: ZrGa after structural relaxation (GGA-PBE).

```
ZrGa
1.0
3.0508 0.0000 0.0000
0.0000 5.0501 0.0000
0.0000 0.0000 10.2943
Zr Ga
4 4
Cartesian
0.7627 1.2625 0.5617 Zr
0.7627 3.7876 2.4495 Zr
2.2881 1.2625 7.8448 Zr
2.2881 3.7876 9.7326 Zr
0.7627 1.2625 5.4124 Ga
0.7627 3.7876 7.1856 Ga
2.2881 1.2625 3.1087 Ga
2.2881 3.7876 4.8819 Ga
```

Output
Total DFT energy (no corrections)   -5.9836 eV/atom

=====

No. 13
Entry from OQMD via LeMat-Bulk: ZrGa2 after structural relaxation (GGA-PBE).

```
ZrGa2
1.0
0.0000 6.2932 6.2932
6.2932 0.0000 6.2932
6.2932 6.2932 0.0000
Zr Ga
2 4
Cartesian
1.5733 1.5733 1.5733 Zr
11.0131 11.0131 11.0131 Zr
0.0000 0.0000 0.0000 Ga
3.1466 3.1466 0.0000 Ga
3.1466 0.0000 3.1466 Ga
0.0000 3.1466 3.1466 Ga
```

Output
Total DFT energy (no corrections)   -3.3399 eV/atom

=====

No. 14
Entry from OQMD via LeMat-Bulk: ZrGa after structural relaxation (GGA-PBE).

```
ZrGa
1.0
0.0000 3.0492 3.0492
3.0492 0.0000 3.0492
3.0492 3.0492 0.0000
Zr Ga
1 1
Cartesian
0.0000 0.0000 0.0000 Zr
1.5246 1.5246 1.5246 Ga
```

Output
Total DFT energy (no corrections)   -4.9920 eV/atom

=====

No. 15
Entry from OQMD via LeMat-Bulk: ZrGa after structural relaxation (GGA-PBE).

```
ZrGa
1.0
3.1065 0.0000 0.0000
-1.5533 2.6903 0.0000
0.0000 0.0000 4.7662
Zr Ga
1 1
Cartesian
0.0000 0.0000 0.0000 Zr
0.0000 1.7935 2.3831 Ga
```

Output
Total DFT energy (no corrections)   -6.0946 eV/atom

=====

No. 16
Entry from OQMD via LeMat-Bulk: ZrGa after structural relaxation (GGA-PBE).

```
ZrGa
1.0
-1.9429 1.9429 10.2706
1.9429 -1.9429 10.2706
1.9429 1.9429 -10.2706
Zr Ga
4 4
Cartesian
1.9429 0.9715 -3.6538 Zr
0.0000 0.9715 1.4815 Zr
1.9429 0.9715 8.7890 Zr
0.0000 0.9715 13.9243 Zr
1.9429 0.9715 -0.8262 Ga
0.0000 0.9715 4.3091 Ga
1.9429 0.9715 5.9615 Ga
0.0000 0.9715 11.0968 Ga
```

Output
Total DFT energy (no corrections)   -6.4195 eV/atom

=====

No. 17
Entry from OQMD via LeMat-Bulk: ZrGa after structural relaxation (GGA-PBE).

```
ZrGa
1.0
6.2277 0.0000 0.0000
0.0000 5.2174 0.0000
-2.0166 0.0000 7.3348
Zr Ga
6 6
Cartesian
0.0336 1.3043 2.0201 Zr
1.1730 3.9130 0.6847 Zr
-0.1660 1.3043 6.2583 Zr
4.3771 3.9130 1.0766 Zr
3.0382 1.3043 6.6501 Zr
4.1776 3.9130 5.3147 Zr
-0.0903 3.9130 3.3327 Ga
1.2225 3.9130 5.7874 Ga
1.7424 1.3043 4.2051 Ga
2.4687 3.9130 3.1297 Ga
2.9886 1.3043 1.5474 Ga
4.3014 1.3043 4.0021 Ga
```

Output
Total DFT energy (no corrections)   -6.0612 eV/atom

=====

No. 18
Entry from OQMD via LeMat-Bulk: Zr3Ga5 after structural relaxation (GGA-PBE).

```
Zr3Ga5
1.0
4.4452 -3.5764 0.0000
4.4452 3.5764 0.0000
0.0000 0.0000 9.0865
Zr Ga
6 10
Cartesian
4.4452 2.6200 6.8149 Zr
2.6106 0.0000 0.0000 Zr
2.6106 0.0000 4.5432 Zr
6.2797 0.0000 0.0000 Zr
6.2797 0.0000 4.5432 Zr
4.4452 -2.6200 2.2716 Zr
2.5794 2.0470 2.2716 Ga
4.4452 2.2450 0.4508 Ga
4.4452 2.2450 4.0924 Ga
6.3110 2.0470 2.2716 Ga
4.4452 0.1029 2.2716 Ga
4.4452 -0.1029 6.8149 Ga
2.5794 -2.0470 6.8149 Ga
4.4452 -2.2450 4.9940 Ga
4.4452 -2.2450 8.6357 Ga
6.3110 -2.0470 6.8149 Ga
```

Output
Total DFT energy (no corrections)   -5.6987 eV/atom

=====

No. 19
Entry from OQMD via LeMat-Bulk: ZrGa after structural relaxation (GGA-PBE).

```
ZrGa
1.0
6.0874 0.0000 0.0000
-3.0437 5.2718 0.0000
0.0000 0.0000 4.9144
Zr Ga
4 4
Cartesian
0.0000 0.0000 0.0000 Zr
0.0000 1.7856 2.4572 Zr
-1.4973 4.3790 2.4572 Zr
1.4973 4.3790 2.4572 Zr
-1.4509 2.6769 0.0000 Ga
1.4509 2.6769 0.0000 Ga
0.0000 5.1899 0.0000 Ga
3.0437 1.7573 2.4572 Ga
```

Output
Total DFT energy (no corrections)   -6.0026 eV/atom

=====

No. 20
Entry from OQMD via LeMat-Bulk: ZrGa after structural relaxation (GGA-PBE).

```
ZrGa
1.0
-1.9420 1.9420 10.2775
1.9420 -1.9420 10.2775
1.9420 1.9420 -10.2775
Zr Ga
4 4
Cartesian
1.9420 0.9710 -3.6518 Zr
0.0000 0.9710 1.4870 Zr
1.9420 0.9710 8.7905 Zr
0.0000 0.9710 13.9293 Zr
1.9420 0.9710 -0.8279 Ga
0.0000 0.9710 4.3109 Ga
1.9420 0.9710 5.9666 Ga
0.0000 0.9710 11.1054 Ga
```

Output
Total DFT energy (no corrections)   -6.4194 eV/atom

=====

No. 21
Entry from OQMD via LeMat-Bulk: ZrGa after structural relaxation (GGA-PBE).

```
ZrGa
1.0
6.5796 0.0000 0.0000
0.0000 14.2876 0.0000
0.0000 0.0000 4.9787
Zr Ga
12 12
Cartesian
0.7210 2.3779 1.2447 Zr
0.7210 4.7659 3.7340 Zr
2.3409 9.4078 1.2447 Zr
2.3409 12.0236 3.7340 Zr
2.4988 2.2999 3.7340 Zr
2.4988 4.8439 1.2447 Zr
4.0809 9.4437 3.7340 Zr
4.0809 11.9877 1.2447 Zr
4.2387 2.2640 1.2447 Zr
4.2387 4.8798 3.7340 Zr
5.8586 9.5217 1.2447 Zr
5.8586 11.9097 3.7340 Zr
0.6821 0.1135 3.7340 Ga
0.6821 7.0303 1.2447 Ga
0.8754 9.4513 3.7340 Ga
0.8754 11.9801 1.2447 Ga
2.3459 0.0396 1.2447 Ga
2.3459 7.1042 3.7340 Ga
4.2337 7.1834 1.2447 Ga
4.2337 14.2480 3.7340 Ga
5.7042 2.3075 3.7340 Ga
5.7042 4.8363 1.2447 Ga
5.8975 7.2573 3.7340 Ga
5.8975 14.1741 1.2447 Ga
```

Output
Total DFT energy (no corrections)   -6.0926 eV/atom

=====

No. 22
Entry from OQMD via LeMat-Bulk: ZrGa after structural relaxation (GGA-PBE).

```
ZrGa
1.0
6.4750 0.0000 0.0000
0.0000 5.0783 0.0000
-1.6376 0.0000 7.1503
Zr Ga
6 6
Cartesian
0.0127 1.2696 0.9567 Zr
0.0406 3.8087 3.6081 Zr
1.6803 1.2696 3.3663 Zr
3.1572 3.8087 3.7840 Zr
4.7969 1.2696 3.5422 Zr
4.8248 3.8087 6.1937 Zr
0.0796 1.2696 5.7778 Ga
1.7099 3.8087 1.3134 Ga
1.5356 3.8087 6.1299 Ga
3.3019 1.2696 1.0204 Ga
3.1275 1.2696 5.8369 Ga
4.7579 3.8087 1.3725 Ga
```

Output
Total DFT energy (no corrections)   -6.0349 eV/atom

=====

No. 23
Entry from OQMD via LeMat-Bulk: ZrGa after structural relaxation (GGA-PBE).

```
ZrGa
1.0
5.9970 0.0000 0.0000
0.0000 5.2370 0.0000
-1.4602 0.0000 7.6200
Zr Ga
6 6
Cartesian
-0.0191 1.3092 0.8291 Zr
1.5082 3.9277 1.9426 Zr
1.5540 3.9277 6.7705 Zr
2.9829 1.3092 0.8495 Zr
3.0287 1.3092 5.6775 Zr
4.5560 3.9277 6.7910 Zr
-0.0399 3.9277 4.2957 Ga
0.0374 1.3092 5.9257 Ga
1.3660 1.3092 3.4002 Ga
3.1709 3.9277 4.2198 Ga
4.4995 3.9277 1.6943 Ga
4.5768 1.3092 3.3244 Ga
```

Output
Total DFT energy (no corrections)   -6.0466 eV/atom